(1)
DFT (PBE-GGA) results for crystalline Na2Ag4Sn at its relaxed geometry.

As for the density: 6634 kg/m3. The value obtained for the total magnetic moment is 0.00 μB per formula unit. The calculation puts the density of states at the Fermi level at 0.277 states/eV per atom. Its space group is Fmm2 (42). The total energy is -17.31 eV/cell. For the formation energy, the calculation gives 105 meV per atom.

abc: 7.423 7.423 5.890
angles: 128.73 128.73 90.40
Fractional positions:
1 Na 0.250 0.750 0.501
2 Ag 0.304 0.698 0.001
3 Ag 0.305 0.305 0.000
4 Sn 0.997 0.997 0.995
5 Na 0.750 0.250 0.501
6 Ag 0.698 0.304 0.001
7 Ag 0.695 0.695 0.000

=====

(2)
DFT (PBE-GGA) results for crystalline Na2Ag2Sn at its relaxed geometry.

As for the density: 5131 kg/m3. The value obtained for the total magnetic moment is 0.00 μB per formula unit. For the energy above the most stable polymorph in this dataset, the calculation gives 0.266 eV per atom. The calculation puts the density of states at the Fermi level at 0.475 states/eV per atom. Its space group is I4/mmm (139). The total energy is -11.47 eV/cell. For the formation energy, the calculation gives 174 meV per atom.

abc: 4.197 4.197 7.593
angles: 73.96 73.96 90.00
Fractional positions:
1 Ag 0.596 0.596 0.808
2 Ag 0.404 0.404 0.192
3 Na 0.750 0.250 0.500
4 Na 0.250 0.750 0.500
5 Sn 0.000 0.000 0.000

=====

(3)
DFT (PBE-GGA) results for crystalline Na2AgSn at its relaxed geometry.

As for the density: 4676 kg/m3. The value obtained for the total magnetic moment is 0.00 μB per formula unit. The calculation puts the density of states at the Fermi level at 0.488 states/eV per atom. Its space group is Cmcm (63). The total energy is -19.20 eV/cell. For the formation energy, the calculation gives -27 meV per atom.

abc: 3.200 4.975 12.264
angles: 90.00 97.50 90.00
Fractional positions:
1 Na 0.966 0.750 0.932
2 Ag 0.846 0.750 0.692
3 Na 0.222 0.750 0.444
4 Sn 0.602 0.750 0.203
5 Ag 0.154 0.250 0.308
6 Na 0.778 0.250 0.556
7 Sn 0.398 0.250 0.797
8 Na 0.034 0.250 0.068

=====

(4)
DFT (PBE-GGA) results for crystalline NaAg3Sn at its relaxed geometry.

As for the density: 5236 kg/m3. The value obtained for the total magnetic moment is 0.00 μB per formula unit. For the energy above the most stable polymorph in this dataset, the calculation gives 0.250 eV per atom. The calculation puts the density of states at the Fermi level at 0.073 states/eV per atom. Its space group is Pm-3m (221). The total energy is -12.89 eV/cell. For the formation energy, the calculation gives 198 meV per atom.

abc: 5.284 5.284 5.284
angles: 90.00 90.00 90.00
Fractional positions:
1 Na 0.500 0.500 0.500
2 Sn 0.000 0.000 0.000
3 Ag 0.000 0.000 0.500
4 Ag 0.000 0.500 0.000
5 Ag 0.500 0.000 0.000

=====

(5)
DFT (PBE-GGA) results for crystalline NaAgSn2 at its relaxed geometry.

As for the density: 5966 kg/m3. The value obtained for the total magnetic moment is 0.00 μB per formula unit. The calculation puts the density of states at the Fermi level at 0.247 states/eV per atom. Its space group is Pnma (62). The total energy is -101.41 eV/cell. For the formation energy, the calculation gives -125 meV per atom.

abc: 6.041 7.497 18.105
angles: 90.00 90.00 90.00
Fractional positions:
1 Na 0.509 0.750 0.858
2 Sn 0.760 0.546 0.527
3 Ag 0.217 0.250 0.339
4 Ag 0.490 0.250 0.583
5 Sn 0.260 0.046 0.973
6 Ag 0.783 0.750 0.661
7 Sn 0.018 0.549 0.779
8 Sn 0.518 0.049 0.721
9 Na 0.232 0.750 0.113
10 Sn 0.518 0.451 0.721
11 Ag 0.283 0.250 0.839
12 Ag 0.510 0.750 0.417
13 Na 0.991 0.750 0.358
14 Sn 0.482 0.951 0.279
15 Sn 0.982 0.049 0.221
16 Ag 0.717 0.750 0.161
17 Sn 0.982 0.451 0.221
18 Na 0.009 0.250 0.642
19 Na 0.768 0.250 0.887
20 Sn 0.240 0.454 0.473
21 Sn 0.018 0.951 0.779
22 Sn 0.760 0.954 0.527
23 Na 0.732 0.250 0.387
24 Sn 0.260 0.454 0.973
25 Ag 0.010 0.250 0.083
26 Sn 0.740 0.954 0.027
27 Na 0.491 0.250 0.142
28 Sn 0.482 0.549 0.279
29 Sn 0.240 0.046 0.473
30 Na 0.268 0.750 0.613
31 Sn 0.740 0.546 0.027
32 Ag 0.990 0.750 0.917

=====

(6)
DFT (PBE-GGA) results for crystalline NaAg3Sn5 at its relaxed geometry.

As for the density: 6371 kg/m3. The value obtained for the total magnetic moment is 0.00 μB per formula unit. The calculation puts the density of states at the Fermi level at 0.441 states/eV per atom. Its space group is C2/m (12). The total energy is -58.04 eV/cell. For the formation energy, the calculation gives 96 meV per atom.

abc: 7.178 7.178 10.176
angles: 81.51 81.51 71.91
Fractional positions:
1 Sn 0.630 0.630 0.532
2 Sn 0.317 0.683 0.000
3 Ag 0.000 0.000 0.500
4 Ag 0.000 0.000 0.000
5 Sn 0.240 0.240 0.982
6 Sn 0.638 0.042 0.656
7 Na 0.130 0.130 0.713
8 Ag 0.579 0.579 0.242
9 Sn 0.370 0.370 0.468
10 Ag 0.344 0.344 0.201
11 Sn 0.683 0.317 0.000
12 Sn 0.362 0.958 0.344
13 Sn 0.760 0.760 0.018
14 Ag 0.421 0.421 0.758
15 Ag 0.656 0.656 0.799
16 Na 0.870 0.870 0.287
17 Sn 0.042 0.638 0.656
18 Sn 0.958 0.362 0.344

=====

(7)
DFT (PBE-GGA) results for crystalline NaAg2Sn at its relaxed geometry.

As for the density: 7113 kg/m3. The value obtained for the total magnetic moment is 0.00 μB per formula unit. The calculation puts the density of states at the Fermi level at 0.545 states/eV per atom. Its space group is F-43m (216). The total energy is -11.11 eV/cell. For the formation energy, the calculation gives -21 meV per atom.

abc: 4.904 4.904 4.906
angles: 60.01 60.01 60.00
Fractional positions:
1 Ag 0.000 0.000 0.999
2 Na 0.750 0.750 0.750
3 Sn 0.500 0.500 0.500
4 Ag 0.250 0.250 0.250

=====

(8)
DFT (PBE-GGA) results for crystalline Na3AgSn at its relaxed geometry.

As for the density: 2991 kg/m3. The value obtained for the total magnetic moment is 0.00 μB per formula unit. For the energy above the most stable polymorph in this dataset, the calculation gives 0.268 eV per atom. The calculation puts the density of states at the Fermi level at 0.646 states/eV per atom. Its space group is Pm-3m (221). The total energy is -9.71 eV/cell. For the formation energy, the calculation gives 221 meV per atom.

abc: 5.475 5.475 5.475
angles: 90.00 90.00 90.00
Fractional positions:
1 Na 0.000 0.500 0.000
2 Na 0.000 0.000 0.500
3 Sn 0.500 0.500 0.500
4 Na 0.500 0.000 0.000
5 Ag 0.000 0.000 0.000